First-principles (PBE) data for Ga2Tc2Pt after structural relaxation, as listed in Alexandria.

The structure in extended XYZ format:
```
10
Lattice="7.190 0.000 0.000 0.000 7.190 0.000 0.000 0.000 3.011" Properties=species:S:1:pos:R:3 pbc="T T T"
Ga 1.287 2.308 0.000
Ga 2.308 5.903 0.000
Ga 4.882 1.287 0.000
Ga 5.903 4.882 0.000
Tc 0.849 4.444 1.506
Tc 2.746 0.849 1.506
Tc 4.444 6.341 1.506
Tc 6.341 2.746 1.506
Pt 0.000 0.000 1.506
Pt 3.595 3.595 1.506
```

Calculated values
* energy: -6.532 eV/atom
* E above lowest polymorph: 42 meV/atom
* DFT formation energy: 34 meV per atom
* ρ: 11.32 g/cm³
* symmetry: P4/mbm (127)